1.
# DyErNi2Pb, optimized geometry, DFT GGA-PBE
data_DyErNi2Pb
_space_group_name_H-M_alt 'P 1'
_space_group_IT_number 1
_cell_length_a 3.670
_cell_length_b 7.398
_cell_length_c 7.398
_cell_angle_alpha 31.22
_cell_angle_beta 90.00
_cell_angle_gamma 90.00
loop_
_space_group_symop_operation_xyz
'x,y,z'
loop_
_atom_site_label
_atom_site_type_symbol
_atom_site_fract_x
_atom_site_fract_y
_atom_site_fract_z
_atom_site_occupancy
Dy1 Dy 0.000 0.000 0.000 1
Er1 Er 0.000 0.281 0.281 1
Ni1 Ni 0.500 0.439 0.439 1
Ni2 Ni 0.500 0.840 0.840 1
Pb1 Pb 0.500 0.641 0.641 1
# Spin magnetization ... 0.002 μB/cell

2.
# LaZrAl, optimized geometry, DFT GGA-PBE
data_LaZrAl
_space_group_name_H-M_alt 'P 1'
_space_group_IT_number 1
_cell_length_a 4.948
_cell_length_b 4.948
_cell_length_c 4.948
_cell_angle_alpha 60.00
_cell_angle_beta 60.00
_cell_angle_gamma 60.00
loop_
_space_group_symop_operation_xyz
'x,y,z'
loop_
_atom_site_label
_atom_site_type_symbol
_atom_site_fract_x
_atom_site_fract_y
_atom_site_fract_z
_atom_site_occupancy
La1 La 0.000 0.000 0.000 1
Zr1 Zr 0.500 0.500 0.500 1
Al1 Al 0.250 0.250 0.250 1
# Energy above the most stable polymorph in this dataset ... 0.000 eV/atom
# Spin magnetization ... 0.051 μB/cell

3.
Here is CdSn2Hg after structural relaxation from OQMD. Energies are from GGA-PBE.

The structure in CIF format:
```
data_CdSn2Hg
_space_group_name_H-M_alt 'P 1'
_space_group_IT_number 1
_cell_length_a 5.291
_cell_length_b 5.291
_cell_length_c 5.291
_cell_angle_alpha 60.00
_cell_angle_beta 60.00
_cell_angle_gamma 60.00
loop_
_space_group_symop_operation_xyz
'x,y,z'
loop_
_atom_site_label
_atom_site_type_symbol
_atom_site_fract_x
_atom_site_fract_y
_atom_site_fract_z
_atom_site_occupancy
Cd1 Cd 0.000 0.000 0.000 1
Sn1 Sn 0.250 0.250 0.250 1
Sn2 Sn 0.500 0.500 0.500 1
Hg1 Hg 0.750 0.750 0.750 1
```

4.
Here is Zn2SiS4 after structural relaxation from OQMD. Energies are from GGA-PBE.

The structure in CIF format:
```
data_Zn2SiS4
_space_group_name_H-M_alt 'P 1'
_space_group_IT_number 1
_cell_length_a 12.494
_cell_length_b 7.295
_cell_length_c 5.863
_cell_angle_alpha 90.00
_cell_angle_beta 90.00
_cell_angle_gamma 90.00
loop_
_space_group_symop_operation_xyz
'x,y,z'
loop_
_atom_site_label
_atom_site_type_symbol
_atom_site_fract_x
_atom_site_fract_y
_atom_site_fract_z
_atom_site_occupancy
Zn1 Zn 0.000 0.000 0.000 1
Zn2 Zn 0.000 0.500 0.000 1
Zn3 Zn 0.228 0.250 0.490 1
Zn4 Zn 0.272 0.750 0.990 1
Zn5 Zn 0.500 0.000 0.500 1
Zn6 Zn 0.500 0.500 0.500 1
Zn7 Zn 0.728 0.250 0.010 1
Zn8 Zn 0.772 0.750 0.510 1
Si1 Si 0.089 0.750 0.409 1
Si2 Si 0.411 0.250 0.909 1
Si3 Si 0.589 0.750 0.091 1
Si4 Si 0.911 0.250 0.591 1
S1 S 0.068 0.250 0.743 1
S2 S 0.093 0.750 0.770 1
S3 S 0.167 0.519 0.249 1
S4 S 0.167 0.981 0.249 1
S5 S 0.333 0.019 0.749 1
S6 S 0.333 0.481 0.749 1
S7 S 0.407 0.250 0.270 1
S8 S 0.432 0.750 0.243 1
S9 S 0.568 0.250 0.757 1
S10 S 0.593 0.750 0.730 1
S11 S 0.667 0.519 0.251 1
S12 S 0.667 0.981 0.251 1
S13 S 0.833 0.019 0.751 1
S14 S 0.833 0.481 0.751 1
S15 S 0.907 0.250 0.230 1
S16 S 0.932 0.750 0.257 1
```

5.
# LaSmSb2Te2, optimized geometry, DFT GGA-PBE
data_LaSmSb2Te2
_space_group_name_H-M_alt 'P 1'
_space_group_IT_number 1
_cell_length_a 4.375
_cell_length_b 4.375
_cell_length_c 9.543
_cell_angle_alpha 90.00
_cell_angle_beta 90.00
_cell_angle_gamma 90.00
loop_
_space_group_symop_operation_xyz
'x,y,z'
loop_
_atom_site_label
_atom_site_type_symbol
_atom_site_fract_x
_atom_site_fract_y
_atom_site_fract_z
_atom_site_occupancy
La1 La 0.000 0.000 0.000 1
Sm1 Sm 0.500 0.500 0.448 1
Sb1 Sb 0.000 0.500 0.719 1
Sb2 Sb 0.500 0.000 0.719 1
Te1 Te 0.000 0.000 0.353 1
Te2 Te 0.500 0.500 0.101 1
# Spin magnetization ... 0.009 μB/cell

6.
# CsLaNiS3, optimized geometry, DFT GGA-PBE
data_CsLaNiS3
_space_group_name_H-M_alt 'P 1'
_space_group_IT_number 1
_cell_length_a 7.903
_cell_length_b 7.903
_cell_length_c 11.106
_cell_angle_alpha 90.00
_cell_angle_beta 90.00
_cell_angle_gamma 149.62
loop_
_space_group_symop_operation_xyz
'x,y,z'
loop_
_atom_site_label
_atom_site_type_symbol
_atom_site_fract_x
_atom_site_fract_y
_atom_site_fract_z
_atom_site_occupancy
Cs1 Cs 0.242 0.758 0.750 1
Cs2 Cs 0.758 0.242 0.250 1
La1 La 0.500 0.500 0.000 1
La2 La 0.500 0.500 0.500 1
Ni1 Ni 0.032 0.968 0.250 1
Ni2 Ni 0.968 0.032 0.750 1
S1 S 0.115 0.885 0.080 1
S2 S 0.115 0.885 0.420 1
S3 S 0.457 0.543 0.250 1
S4 S 0.543 0.457 0.750 1
S5 S 0.885 0.115 0.580 1
S6 S 0.885 0.115 0.920 1
# Spin magnetization ... 3.995 μB/cell

7.
Here is BaZn2 after structural relaxation from OQMD. Energies are from GGA-PBE.

The structure in CIF format:
```
data_BaZn2
_space_group_name_H-M_alt 'P 1'
_space_group_IT_number 1
_cell_length_a 6.164
_cell_length_b 6.164
_cell_length_c 5.107
_cell_angle_alpha 90.00
_cell_angle_beta 90.00
_cell_angle_gamma 53.63
loop_
_space_group_symop_operation_xyz
'x,y,z'
loop_
_atom_site_label
_atom_site_type_symbol
_atom_site_fract_x
_atom_site_fract_y
_atom_site_fract_z
_atom_site_occupancy
Ba1 Ba 0.219 0.781 0.750 1
Ba2 Ba 0.781 0.219 0.250 1
Zn1 Zn 0.132 0.467 0.250 1
Zn2 Zn 0.467 0.132 0.750 1
Zn3 Zn 0.533 0.868 0.250 1
Zn4 Zn 0.868 0.533 0.750 1
```

8.
# La2Ni8P, optimized geometry, DFT GGA-PBE
data_La2Ni8P
_space_group_name_H-M_alt 'P 1'
_space_group_IT_number 1
_cell_length_a 3.963
_cell_length_b 8.652
_cell_length_c 8.652
_cell_angle_alpha 147.13
_cell_angle_beta 90.00
_cell_angle_gamma 90.00
loop_
_space_group_symop_operation_xyz
'x,y,z'
loop_
_atom_site_label
_atom_site_type_symbol
_atom_site_fract_x
_atom_site_fract_y
_atom_site_fract_z
_atom_site_occupancy
La1 La 0.000 0.121 0.879 1
La2 La 0.000 0.879 0.121 1
Ni1 Ni 0.000 0.291 0.708 1
Ni2 Ni 0.000 0.501 0.501 1
Ni3 Ni 0.000 0.708 0.291 1
Ni4 Ni 0.500 0.000 0.501 1
Ni5 Ni 0.500 0.380 0.616 1
Ni6 Ni 0.500 0.501 0.000 1
Ni7 Ni 0.500 0.616 0.380 1
Ni8 Ni 0.500 0.824 0.824 1
P1 P 0.500 0.283 0.283 1
# Spin magnetization ... 0.017 μB/cell

9.
# CuPd2, optimized geometry, DFT GGA-PBE
data_CuPd2
_space_group_name_H-M_alt 'P 1'
_space_group_IT_number 1
_cell_length_a 7.641
_cell_length_b 7.641
_cell_length_c 7.641
_cell_angle_alpha 60.00
_cell_angle_beta 60.00
_cell_angle_gamma 60.00
loop_
_space_group_symop_operation_xyz
'x,y,z'
loop_
_atom_site_label
_atom_site_type_symbol
_atom_site_fract_x
_atom_site_fract_y
_atom_site_fract_z
_atom_site_occupancy
Cu1 Cu 0.125 0.125 0.125 1
Cu2 Cu 0.875 0.875 0.875 1
Pd1 Pd 0.000 0.000 0.000 1
Pd2 Pd 0.000 0.000 0.500 1
Pd3 Pd 0.000 0.500 0.000 1
Pd4 Pd 0.500 0.000 0.000 1
# Energy above the most stable polymorph in this dataset ... 1.836 eV/atom

10.
# KTmPO, optimized geometry, DFT GGA-PBE
data_KTmPO
_space_group_name_H-M_alt 'P 1'
_space_group_IT_number 1
_cell_length_a 4.747
_cell_length_b 6.691
_cell_length_c 5.878
_cell_angle_alpha 90.00
_cell_angle_beta 90.00
_cell_angle_gamma 90.00
loop_
_space_group_symop_operation_xyz
'x,y,z'
loop_
_atom_site_label
_atom_site_type_symbol
_atom_site_fract_x
_atom_site_fract_y
_atom_site_fract_z
_atom_site_occupancy
K1 K 0.000 0.136 0.000 1
K2 K 0.000 0.864 0.500 1
Tm1 Tm 0.500 0.219 0.499 1
Tm2 Tm 0.500 0.781 0.999 1
P1 P 0.000 0.429 0.478 1
P2 P 0.000 0.571 0.978 1
O1 O 0.500 0.004 0.754 1
O2 O 0.500 0.996 0.254 1
# Energy above the most stable polymorph in this dataset ... 0.026 eV/atom
# Spin magnetization ... 0.000 μB/cell

11.
# TbInBr6, optimized geometry, DFT GGA-PBE
data_TbInBr6
_space_group_name_H-M_alt 'P 1'
_space_group_IT_number 1
_cell_length_a 7.075
_cell_length_b 7.075
_cell_length_c 7.088
_cell_angle_alpha 99.88
_cell_angle_beta 99.88
_cell_angle_gamma 120.24
loop_
_space_group_symop_operation_xyz
'x,y,z'
loop_
_atom_site_label
_atom_site_type_symbol
_atom_site_fract_x
_atom_site_fract_y
_atom_site_fract_z
_atom_site_occupancy
Tb1 Tb 0.000 0.000 0.000 1
In1 In 0.331 0.669 0.000 1
Br1 Br 0.108 0.427 0.237 1
Br2 Br 0.232 0.265 0.761 1
Br3 Br 0.398 0.056 0.240 1
Br4 Br 0.573 0.892 0.763 1
Br5 Br 0.735 0.768 0.239 1
Br6 Br 0.944 0.602 0.760 1
# Spin magnetization ... 0.002 μB/cell

Number 1: uncorrected energy -5.33 eV per atom. Number 2: uncorrected energy -5.58 eV per atom. Number 3: uncorrected energy -2.24 eV per atom. Number 4: uncorrected energy -4.10 eV per atom. Number 5: uncorrected energy -5.24 eV per atom. Number 6: uncorrected energy -5.25 eV per atom. Number 7: uncorrected energy -1.54 eV per atom. Number 8: uncorrected energy -5.93 eV per atom. Number 9: uncorrected energy -2.88 eV per atom. Number 10: uncorrected energy -5.50 eV per atom. Number 11: uncorrected energy -3.51 eV per atom.